# 1
Computed, not measured: a geometry-optimized CeNd14In structure at the PBE level of DFT.

```
CeNd14In
1.0
7.1948 0.9653 0.0000
-0.9654 7.1948 0.0000
0.0000 0.0000 10.2896
Ce Nd In
1 14 1
direct
0.8753 0.1247 0.0000
0.3752 0.6248 0.5000
0.8763 0.6260 0.5000
0.3740 0.1237 0.5000
0.8749 0.1251 0.5000
0.3767 0.1272 0.0000
0.6235 0.8735 0.7570
0.6235 0.8735 0.2430
0.6233 0.3767 0.7558
0.1265 0.3765 0.2430
0.6233 0.3767 0.2442
0.1265 0.3765 0.7570
0.1267 0.8733 0.2420
0.1267 0.8733 0.7580
0.8728 0.6233 0.0000
0.3749 0.6251 0.0000
```

Summary:
M_tot: 1.3 μB per formula unit
symmetry: Amm2 (38)
VASP energy: -75.76 eV per cell
formation energy: -0.021 eV per atom
crystal system: orthorhombic

---

# 2
Computed, not measured: a geometry-optimized La2HoZn structure at the PBE level of DFT.

```
La2HoZn
1.0
-2.4273 1.2351 -2.4979
-3.5542 -0.9850 0.2331
-3.9493 8.5835 5.3485
La Zn Ho
2 1 1
direct
0.0746 0.0746 0.7762
0.2590 0.2590 0.2231
0.6670 0.6670 0.9991
0.4995 0.4995 0.5016
```

Summary:
M_tot: 0.0 μB per formula unit
symmetry: R3m (160)
relative energy among the computed polymorphs: 0.1444 eV/atom
VASP energy: -15.75 eV per cell
formation energy: -0.011 eV per atom
crystal system: trigonal

---

# 3
Computed, not measured: a geometry-optimized BaPuPtO6 structure at the PBE level of DFT.

```
BaPuPtO6
1.0
-1.2885 -3.8390 3.5524
0.3932 -1.1987 -5.2370
11.6563 -2.5602 1.4613
O Ba Pt Pu
12 2 2 2
direct
0.6330 0.6392 0.1541
0.6392 0.0062 0.8459
0.3670 0.3608 0.8459
0.3670 0.0062 0.6541
0.3608 0.3670 0.3459
0.3608 0.9938 0.1541
0.0062 0.3670 0.1541
0.9938 0.6330 0.8459
0.9938 0.3608 0.6541
0.6330 0.9938 0.3459
0.0062 0.6392 0.3459
0.6392 0.6330 0.6541
0.0000 0.0000 0.5000
0.0000 0.0000 0.0000
0.3333 0.6667 0.2500
0.6667 0.3333 0.7500
0.6667 0.3333 0.2500
0.3333 0.6667 0.7500
```

Summary:
M_tot: 2.0 μB per formula unit
symmetry: P-31c (163)
VASP energy: -139.83 eV per cell
crystal system: trigonal
energy relative to the elements, uncorrected: -1986 meV/atom

---

# 4
Computed, not measured: a geometry-optimized Pm2Cu2I structure at the PBE level of DFT.

```
Pm2Cu2I
1.0
-3.5988 1.3352 -1.7473
2.5913 -2.5200 -2.1729
-2.5067 -6.8835 4.9932
Cu Pm I
2 2 1
direct
0.6658 0.8328 0.4987
0.3342 0.1672 0.5013
0.8617 0.4307 0.2925
0.1383 0.5693 0.7075
0.0000 0.0000 0.0000
```

Summary:
M_tot: 0.0 μB per formula unit
symmetry: R-3m (166)
VASP energy: -21.94 eV per cell
crystal system: trigonal
energy relative to the elements, uncorrected: -540 meV/atom

---

# 5
Computed, not measured: a geometry-optimized SiTe structure at the PBE level of DFT.

```
SiTe
1.0
5.6519 0.0000 0.0000
0.0000 5.6519 0.0000
0.0000 0.0000 5.5458
Te Si
3 3
direct
0.5000 0.5000 0.5000
0.5000 0.0000 0.0000
0.0000 0.5000 0.0000
0.5000 0.0000 0.5000
0.0000 0.5000 0.5000
0.5000 0.5000 0.0000
```

Summary:
M_tot: 0.0 μB per formula unit
symmetry: P4/mmm (123)
VASP energy: -22.59 eV per cell
crystal system: tetragonal
energy relative to the elements, uncorrected: 517 meV/atom

---

# 6
Computed, not measured: a geometry-optimized Ce3TcRh2 structure at the PBE level of DFT.

```
Ce3TcRh2
1.0
-1.0002 -4.6621 -4.3833
3.9420 -5.0522 -0.3111
-4.5674 -5.0912 3.4219
Ce Tc Rh
6 2 4
direct
0.9114 0.6569 0.2788
0.2811 0.0000 0.1909
0.0886 0.3431 0.7212
0.4317 0.6569 0.7212
0.5683 0.3431 0.2788
0.7189 0.0000 0.8091
0.2688 0.4625 0.0000
0.7312 0.5375 0.0000
0.8720 0.2560 0.5000
0.5000 0.0000 0.5000
0.0000 0.0000 0.0000
0.1280 0.7440 0.5000
```

Summary:
M_tot: 0.0 μB per formula unit
symmetry: C2/m (12)
VASP energy: -90.80 eV per cell
formation energy: -0.422 eV per atom
crystal system: monoclinic

---

# 7
Computed, not measured: a geometry-optimized HoBAs structure at the PBE level of DFT.

```
HoBAs
1.0
-1.8091 -1.3258 -2.6667
4.6544 -2.2455 0.2354
-6.6662 -1.1162 5.0774
B Ho As
2 2 2
direct
0.7059 0.4117 0.4650
0.2941 0.5883 0.5350
0.0000 0.0000 0.5000
0.0000 0.0000 0.0000
0.4122 0.8245 0.1861
0.5878 0.1755 0.8139
```

Summary:
M_tot: 0.0 μB per formula unit
symmetry: C2/m (12)
VASP energy: -34.75 eV per cell
formation energy: -0.491 eV per atom
crystal system: monoclinic

---

# 8
Computed, not measured: a geometry-optimized CsSr2CrFe structure at the PBE level of DFT.

```
CsSr2CrFe
1.0
-3.1191 -3.3191 3.5352
4.9196 -3.0166 1.5084
0.9485 3.7045 4.3150
Sr Cr Cs Fe
2 1 1 1
direct
0.0000 0.0000 0.5000
0.5000 0.0000 0.0000
0.5000 0.5000 0.5000
0.0000 0.5000 0.0000
0.0000 0.0000 0.0000
```

Summary:
M_tot: 5.4 μB per formula unit
symmetry: P4/mmm (123)
VASP energy: -16.47 eV per cell
formation energy: 1.166 eV per atom
crystal system: tetragonal

---

# 9
Computed, not measured: a geometry-optimized RbSBrN2 structure at the PBE level of DFT.

```
RbSBrN2
1.0
-2.5038 5.1037 -0.6910
-2.4211 -0.4882 5.1667
5.1019 2.8632 2.6613
N S Br Rb
2 1 1 1
direct
0.0000 0.5000 0.0000
0.5000 0.0000 0.0000
0.0000 0.0000 0.5000
0.5000 0.5000 0.5000
0.0000 0.0000 0.0000
```

Summary:
M_tot: 8.0 μB per formula unit
symmetry: P4/mmm (123)
relative energy among the computed polymorphs: 0.4805 eV/atom
VASP energy: -12.80 eV per cell
crystal system: tetragonal
energy relative to the elements, uncorrected: 2123 meV/atom

---

# 10
Computed, not measured: a geometry-optimized KBa2Y structure at the PBE level of DFT.

```
KBa2Y
1.0
4.0737 0.0000 0.0000
0.0000 4.0737 0.0000
0.0000 0.0000 13.0261
Ba Y K
2 1 1
direct
0.0000 0.0000 0.9704
0.5000 0.5000 0.2382
0.5000 0.5000 0.7658
0.0000 0.0000 0.5256
```

Summary:
M_tot: 1.1 μB per formula unit
symmetry: P4mm (99)
relative energy among the computed polymorphs: 0.0888 eV/atom
VASP energy: -10.24 eV per cell
formation energy: 0.291 eV per atom
crystal system: tetragonal

---

# 11
Computed, not measured: a geometry-optimized K2AlSe structure at the PBE level of DFT.

```
K2AlSe
1.0
-2.7971 -2.0222 -1.3756
0.7839 -2.7073 2.4209
-6.3482 4.1928 6.7445
K Al Se
2 1 1
direct
0.0000 0.0000 0.9233
0.5000 0.5000 0.3357
0.5000 0.5000 0.6752
0.0000 0.0000 0.5658
```

Summary:
M_tot: 0.0 μB per formula unit
symmetry: Cmm2 (35)
relative energy among the computed polymorphs: 0.1659 eV/atom
VASP energy: -10.63 eV per cell
crystal system: orthorhombic
energy relative to the elements, uncorrected: -302 meV/atom

---

# 12
Computed, not measured: a geometry-optimized Nb2Sn2As structure at the PBE level of DFT.

```
Nb2Sn2As
1.0
7.0707 0.0000 0.0000
0.0000 7.0707 0.0000
0.0000 0.0000 4.1328
As Nb Sn
2 4 4
direct
0.0000 0.0000 0.0000
0.5000 0.5000 0.0000
0.1541 0.3459 0.0000
0.6541 0.1541 0.0000
0.3459 0.8459 0.0000
0.8459 0.6541 0.0000
0.3502 0.1498 0.5000
0.8502 0.3502 0.5000
0.6498 0.8502 0.5000
0.1498 0.6498 0.5000
```

Summary:
M_tot: 0.0 μB per formula unit
symmetry: P4/mbm (127)
VASP energy: -66.21 eV per cell
formation energy: -0.062 eV per atom
crystal system: tetragonal

---

Which of these has the highest VASP energy? KBa2Y

---

Which of these has the highest M_tot? RbSBrN2

---

Which formula does entry 4 have? Pm2Cu2I

---

Which of these has the lowest VASP energy? BaPuPtO6